[1]
Density functional theory data (PBE) for PmThSnPd after structural relaxation.

Results
DOS(E_F)	1.00	states/eV/atom
ΔE_f	-12.660	kcal/mol of atoms
SG	F-43m (216)
calculated density	9.418	g cm⁻³

Cell: 5.315 5.315 5.315 Å, 60.00 60.00 60.00°
Element x y z (fractional)
Pm 0.000 0.000 0.000
Th 0.500 0.500 0.500
Sn 0.750 0.750 0.750
Pd 0.250 0.250 0.250


[2]
Density functional theory data (PBE) for PmTiSnPd after structural relaxation.

Results
DOS(E_F)	0.94	states/eV/atom
ΔE_f	-9.477	kcal/mol of atoms
SG	F-43m (216)
calculated density	7.844	g cm⁻³

Cell: 5.002 5.002 5.002 Å, 60.00 60.00 60.00°
Element x y z (fractional)
Pm 0.000 0.000 0.000
Ti 0.500 0.500 0.500
Sn 0.750 0.750 0.750
Pd 0.250 0.250 0.250


[3]
Density functional theory data (PBE) for Pm2TiSn4Pd3 after structural relaxation.

Results
DOS(E_F)	0.41	states/eV/atom
ΔE_f	-15.535	kcal/mol of atoms
SG	P-4m2 (115)
calculated density	8.287	g cm⁻³

Cell: 4.370 4.370 11.875 Å, 90.00 90.00 90.00°
Element x y z (fractional)
Pm 0.000 0.500 0.247
Pm 0.500 0.000 0.753
Ti 0.000 0.000 0.500
Sn 0.000 0.000 0.000
Sn 0.000 0.500 0.641
Sn 0.500 0.000 0.359
Sn 0.500 0.500 0.000
Pd 0.000 0.500 0.862
Pd 0.500 0.000 0.138
Pd 0.500 0.500 0.500


[4]
Density functional theory data (PBE) for Pm2TmSn3Pd4 after structural relaxation.

Results
DOS(E_F)	0.70	states/eV/atom
ΔE_f	-18.498	kcal/mol of atoms
SG	P-4m2 (115)
calculated density	8.900	g cm⁻³

Cell: 4.566 4.566 11.105 Å, 90.00 90.00 90.00°
Element x y z (fractional)
Pm 0.000 0.500 0.222
Pm 0.500 0.000 0.778
Tm 0.000 0.000 0.500
Sn 0.000 0.500 0.874
Sn 0.500 0.000 0.126
Sn 0.500 0.500 0.500
Pd 0.000 0.000 0.000
Pd 0.000 0.500 0.641
Pd 0.500 0.000 0.359
Pd 0.500 0.500 0.000


[5]
Density functional theory data (PBE) for Pm2YSn3Pd6 after structural relaxation.

Results
DOS(E_F)	0.61	states/eV/atom
ΔE_f	-11.793	kcal/mol of atoms
SG	P4/mmm (123)
calculated density	7.716	g cm⁻³

Cell: 4.050 4.050 18.020 Å, 90.00 90.00 90.00°
Element x y z (fractional)
Pm 0.000 0.000 0.189
Pm 0.000 0.000 0.811
Y 0.000 0.000 0.500
Sn 0.500 0.500 0.000
Sn 0.500 0.500 0.290
Sn 0.500 0.500 0.710
Pd 0.000 0.500 0.385
Pd 0.000 0.500 0.615
Pd 0.500 0.000 0.385
Pd 0.500 0.000 0.615
Pd 0.500 0.500 0.141
Pd 0.500 0.500 0.859


[6]
Density functional theory data (PBE) for PmYSnPd after structural relaxation.

Results
DOS(E_F)	0.70	states/eV/atom
ΔE_f	-16.764	kcal/mol of atoms
SG	F-43m (216)
calculated density	7.531	g cm⁻³

Cell: 5.231 5.231 5.231 Å, 60.00 60.00 60.00°
Element x y z (fractional)
Pm 0.000 0.000 0.000
Y 0.500 0.500 0.500
Sn 0.750 0.750 0.750
Pd 0.250 0.250 0.250


[7]
Density functional theory data (PBE) for Pm2Zn3SnPd4 after structural relaxation.

Results
DOS(E_F)	0.79	states/eV/atom
ΔE_f	-14.522	kcal/mol of atoms
SG	P-4m2 (115)
calculated density	8.515	g cm⁻³

Cell: 4.473 4.473 10.044 Å, 90.00 90.00 90.00°
Element x y z (fractional)
Pm 0.000 0.500 0.234
Pm 0.500 0.000 0.766
Zn 0.000 0.500 0.882
Zn 0.500 0.000 0.118
Zn 0.500 0.500 0.500
Sn 0.000 0.000 0.500
Pd 0.000 0.000 0.000
Pd 0.000 0.500 0.637
Pd 0.500 0.000 0.363
Pd 0.500 0.500 0.000


[8]
Density functional theory data (PBE) for Pm3Zn2SnPd9 after structural relaxation.

Results
DOS(E_F)	0.33	states/eV/atom
ΔE_f	-12.238	kcal/mol of atoms
SG	P-3m1 (164)
calculated density	8.226	g cm⁻³

Cell: 5.680 5.680 11.866 Å, 90.00 90.00 120.00°
Element x y z (fractional)
Pm 0.000 0.000 0.000
Pm 0.333 0.667 0.763
Pm 0.667 0.333 0.237
Zn 0.333 0.667 0.162
Zn 0.667 0.333 0.838
Sn 0.000 0.000 0.500
Pd 0.000 0.500 0.000
Pd 0.167 0.334 0.324
Pd 0.167 0.833 0.324
Pd 0.334 0.167 0.676
Pd 0.500 0.000 0.000
Pd 0.500 0.500 0.000
Pd 0.666 0.833 0.324
Pd 0.833 0.167 0.676
Pd 0.833 0.666 0.676


[9]
Density functional theory data (PBE) for PmZnSnPd3 after structural relaxation.

Results
DOS(E_F)	0.69	states/eV/atom
ΔE_f	-12.297	kcal/mol of atoms
SG	Cmcm (63)
calculated density	8.901	g cm⁻³

Cell: 6.984 6.984 6.472 Å, 90.00 90.00 129.97°
Element x y z (fractional)
Pm 0.177 0.823 0.750
Pm 0.823 0.177 0.250
Zn 0.415 0.585 0.750
Zn 0.585 0.415 0.250
Sn 0.139 0.861 0.250
Sn 0.861 0.139 0.750
Pd 0.237 0.237 0.000
Pd 0.237 0.237 0.500
Pd 0.349 0.651 0.250
Pd 0.651 0.349 0.750
Pd 0.763 0.763 0.000
Pd 0.763 0.763 0.500


[10]
Density functional theory data (PBE) for Pm2ZnSnPd6 after structural relaxation.

Results
DOS(E_F)	0.37	states/eV/atom
ΔE_f	-14.550	kcal/mol of atoms
SG	P-1 (2)
calculated density	9.405	g cm⁻³

Cell: 5.546 6.511 6.668 Å, 86.42 65.48 64.90°
Element x y z (fractional)
Pm 0.246 0.255 0.255
Pm 0.754 0.745 0.745
Zn 0.500 0.500 0.500
Sn 0.000 0.000 0.000
Pd 0.196 0.313 0.803
Pd 0.255 0.929 0.561
Pd 0.310 0.687 0.198
Pd 0.690 0.313 0.802
Pd 0.745 0.071 0.439
Pd 0.804 0.687 0.197


[11]
Density functional theory data (PBE) for Pm2ZnSn3Pd4 after structural relaxation.

Results
DOS(E_F)	0.66	states/eV/atom
ΔE_f	-16.791	kcal/mol of atoms
SG	P-4m2 (115)
calculated density	8.703	g cm⁻³

Cell: 4.496 4.496 10.736 Å, 90.00 90.00 90.00°
Element x y z (fractional)
Pm 0.000 0.500 0.248
Pm 0.500 0.000 0.752
Zn 0.500 0.500 0.000
Sn 0.000 0.000 0.000
Sn 0.000 0.500 0.633
Sn 0.500 0.000 0.367
Pd 0.000 0.000 0.500
Pd 0.000 0.500 0.874
Pd 0.500 0.000 0.126
Pd 0.500 0.500 0.500


[12]
Density functional theory data (PBE) for SrPm4Pd5 after structural relaxation.

Results
DOS(E_F)	0.78	states/eV/atom
ΔE_f	-17.046	kcal/mol of atoms
SG	P4/mmm (123)
calculated density	8.326	g cm⁻³

Cell: 3.604 3.604 18.420 Å, 90.00 90.00 90.00°
Element x y z (fractional)
Sr 0.000 0.000 0.000
Pm 0.000 0.000 0.204
Pm 0.000 0.000 0.402
Pm 0.000 0.000 0.598
Pm 0.000 0.000 0.796
Pd 0.500 0.500 0.118
Pd 0.500 0.500 0.304
Pd 0.500 0.500 0.500
Pd 0.500 0.500 0.696
Pd 0.500 0.500 0.882